1.
# RbNiTeC2

An optimized crystal structure of RbNiTeC2 (PBE, Alexandria via LeMat-Bulk).

Lattice parameters (Å, degrees): 4.2028 4.2028 5.3844 90.00 90.00 90.00
Space group P4/mmm (No. 123)
Inequivalent atoms, fractional coordinates:
Rb  0.0000  0.0000  0.0000 (multiplicity 1)
Ni  0.0000  0.0000  0.5000 (multiplicity 1)
Te  0.5000  0.5000  0.0000 (multiplicity 1)
C  0.0000  0.5000  0.5000 (multiplicity 2)

Properties
Raw formation energy = 10.13 eV per formula unit
Size of the total moment = 0.17 μB per atom



2.
# Rb2ZrNiC

An optimized crystal structure of Rb2ZrNiC (PBE, Alexandria via LeMat-Bulk).

Lattice parameters (Å, degrees): 6.8416 6.8416 3.5492 90.00 90.00 90.00
Space group P4/mmm (No. 123)
Inequivalent atoms, fractional coordinates:
Rb  0.0000  0.5000  0.0000 (multiplicity 2)
Zr  0.0000  0.0000  0.5000 (multiplicity 1)
Ni  0.5000  0.5000  0.0000 (multiplicity 1)
C  0.5000  0.5000  0.5000 (multiplicity 1)

Properties
Formation energy from the elements = 1.30 eV/atom
Size of the total moment = 0.56 μB per atom



3.
# ReNi3C

An optimized crystal structure of ReNi3C (PBE, Alexandria via LeMat-Bulk).

Lattice parameters (Å, degrees): 3.7919 3.7919 3.7919 90.00 90.00 90.00
Space group Pm-3m (No. 221)
Inequivalent atoms, fractional coordinates:
Re  0.0000  0.0000  0.0000 (multiplicity 1)
Ni  0.0000  0.5000  0.5000 (multiplicity 3)
C  0.5000  0.5000  0.5000 (multiplicity 1)

Properties
E above lowest polymorph = 0.000 eV per atom
Formation energy from the elements = 0.57 eV/atom
Size of the total moment = 0.01 μB per atom



4.
# Re2Ni4C

An optimized crystal structure of Re2Ni4C (PBE, Alexandria via LeMat-Bulk).

Lattice parameters (Å, degrees): 3.4881 3.4881 14.4621 90.00 90.00 90.00
Space group I4/mmm (No. 139)
Inequivalent atoms, fractional coordinates:
Re  0.0000  0.0000  0.2029 (multiplicity 4)
Ni  0.0000  0.0000  0.3702 (multiplicity 4)
Ni  0.0000  0.5000  0.0000 (multiplicity 4)
C  0.0000  0.0000  0.5000 (multiplicity 2)

Properties
Formation energy from the elements = 0.56 eV/atom
Size of the total moment = 0.00 μB per atom



5.
# ReNiC3

An optimized crystal structure of ReNiC3 (PBE, Alexandria via LeMat-Bulk).

Lattice parameters (Å, degrees): 3.6708 3.6708 3.6708 90.00 90.00 90.00
Space group Pm-3m (No. 221)
Inequivalent atoms, fractional coordinates:
Re  0.0000  0.0000  0.0000 (multiplicity 1)
Ni  0.5000  0.5000  0.5000 (multiplicity 1)
C  0.0000  0.5000  0.5000 (multiplicity 3)

Properties
E above lowest polymorph = 0.522 eV per atom
Formation energy from the elements = 2.51 eV/atom
Size of the total moment = 0.13 μB per atom



6.
# ReNiC3

An optimized crystal structure of ReNiC3 (PBE, Alexandria via LeMat-Bulk).

Lattice parameters (Å, degrees): 3.9946 3.9946 3.9946 90.00 90.00 90.00
Space group Pm-3m (No. 221)
Inequivalent atoms, fractional coordinates:
Re  0.0000  0.0000  0.0000 (multiplicity 1)
Ni  0.5000  0.5000  0.5000 (multiplicity 1)
C  0.0000  0.0000  0.5000 (multiplicity 3)

Properties
E above lowest polymorph = 0.000 eV per atom
Formation energy from the elements = 1.99 eV/atom
Size of the total moment = 0.00 μB per atom



7.
# ReNi3C

An optimized crystal structure of ReNi3C (PBE, Alexandria via LeMat-Bulk).

Lattice parameters (Å, degrees): 4.4665 4.4665 4.4665 90.00 90.00 90.00
Space group Pm-3m (No. 221)
Inequivalent atoms, fractional coordinates:
Re  0.0000  0.0000  0.0000 (multiplicity 1)
Ni  0.0000  0.0000  0.5000 (multiplicity 3)
C  0.5000  0.5000  0.5000 (multiplicity 1)

Properties
E above lowest polymorph = 2.089 eV per atom
Formation energy from the elements = 2.66 eV/atom
Size of the total moment = 0.00 μB per atom



8.
# ReNiC2

An optimized crystal structure of ReNiC2 (PBE, Alexandria via LeMat-Bulk).

Lattice parameters (Å, degrees): 4.5201 4.5201 9.0307 90.00 90.00 90.00
Space group I-42d (No. 122)
Inequivalent atoms, fractional coordinates:
Re  0.0000  0.0000  0.0000 (multiplicity 4)
Ni  0.0000  0.0000  0.5000 (multiplicity 4)
C  0.2493  0.2500  0.6250 (multiplicity 8)

Properties
E above lowest polymorph = 0.000 eV per atom
Formation energy from the elements = 0.65 eV/atom
Size of the total moment = 0.00 μB per atom



9.
# Re2Ni2C

An optimized crystal structure of Re2Ni2C (PBE, Alexandria via LeMat-Bulk).

Lattice parameters (Å, degrees): 5.5100 5.5100 4.1270 90.00 90.00 90.00
Space group P4/mbm (No. 127)
Inequivalent atoms, fractional coordinates:
Re  0.1634  0.3366  0.0000 (multiplicity 4)
Ni  0.1491  0.6491  0.5000 (multiplicity 4)
C  0.0000  0.0000  0.0000 (multiplicity 2)

Properties
E above lowest polymorph = 0.000 eV per atom
Formation energy from the elements = 0.34 eV/atom
Size of the total moment = 0.00 μB per atom



10.
# ReNiC2

An optimized crystal structure of ReNiC2 (PBE, Alexandria via LeMat-Bulk).

Lattice parameters (Å, degrees): 5.2496 5.2496 5.2496 90.00 90.00 90.00
Space group Fm-3m (No. 225)
Inequivalent atoms, fractional coordinates:
Re  0.0000  0.0000  0.0000 (multiplicity 4)
Ni  0.0000  0.0000  0.5000 (multiplicity 4)
C  0.2500  0.2500  0.2500 (multiplicity 8)

Properties
E above lowest polymorph = 0.594 eV per atom
Formation energy from the elements = 1.24 eV/atom
Size of the total moment = 0.00 μB per atom



11.
# Re2Ni2C

An optimized crystal structure of Re2Ni2C (PBE, Alexandria via LeMat-Bulk).

Lattice parameters (Å, degrees): 3.0178 3.0178 13.1965 90.00 90.00 90.00
Space group I4/mmm (No. 139)
Inequivalent atoms, fractional coordinates:
Re  0.0000  0.0000  0.0935 (multiplicity 4)
Ni  0.0000  0.5000  0.2500 (multiplicity 4)
C  0.0000  0.0000  0.5000 (multiplicity 2)

Properties
E above lowest polymorph = 0.673 eV per atom
Formation energy from the elements = 1.01 eV/atom
Size of the total moment = 0.00 μB per atom



12.
# ScReNi2C

An optimized crystal structure of ScReNi2C (PBE, Alexandria via LeMat-Bulk).

Lattice parameters (Å, degrees): 3.9191 3.9191 4.0696 90.00 90.00 90.00
Space group P4/mmm (No. 123)
Inequivalent atoms, fractional coordinates:
Sc  0.0000  0.0000  0.0000 (multiplicity 1)
Re  0.5000  0.5000  0.0000 (multiplicity 1)
Ni  0.0000  0.5000  0.5000 (multiplicity 2)
C  0.5000  0.5000  0.5000 (multiplicity 1)

Properties
E above lowest polymorph = 0.000 eV per atom
Formation energy from the elements = -0.19 eV/atom
Size of the total moment = 0.00 μB per atom